Computed, not measured: Ba3Mn2O8 after structural relaxation at the GGA+U level of DFT.

Computed properties:
SG: R-3m
V, Å³/cell: 212

a = 7.9852 Å, b = 7.9852 Å, c = 7.9852 Å
α = 42.64°, β = 42.64°, γ = 42.64°
Last column: nearest neighbours and their distance in Å.
Fractional coordinates of all 13 atoms:
Ba 0.0000 0.0000 0.0000  6 O 2.80
Ba 0.2075 0.2075 0.2075  10 O 2.64-2.95
Ba 0.7925 0.7925 0.7925  10 O 2.64-2.95
Mn 0.4072 0.4072 0.4072  4 O 1.70-1.73
Mn 0.5928 0.5928 0.5928  4 O 1.70-1.73
O 0.2432 0.7269 0.7269  1 Mn 1.73
O 0.2731 0.2731 0.7568  1 Mn 1.73
O 0.2731 0.7568 0.2731  1 Mn 1.73
O 0.3290 0.3290 0.3290  1 Mn 1.70
O 0.6710 0.6710 0.6710  1 Mn 1.70
O 0.7269 0.2432 0.7269  1 Mn 1.73
O 0.7269 0.7269 0.2432  1 Mn 1.73
O 0.7568 0.2731 0.2731  1 Mn 1.73


Computed, not measured: BaMn2O8 after structural relaxation at the GGA+U level of DFT.

Computed properties:
SG: Fddd
N(E_F), states/eV/atom: 0.000
V, Å³/cell: 344

a = 9.6997 Å, b = 8.4462 Å, c = 7.1266 Å
α = 76.53°, β = 57.87°, γ = 45.60°
Last column: nearest neighbours and their distance in Å.
Fractional coordinates of all 22 atoms:
Ba 0.1250 0.1250 0.1250  12 O 2.91-3.01
Ba 0.8750 0.8750 0.8750  12 O 2.91-3.01
Mn 0.1776 0.5724 0.1776  4 O 1.61-1.63
Mn 0.4276 0.8224 0.4276  4 O 1.61-1.63
Mn 0.5724 0.1776 0.5724  4 O 1.61-1.63
Mn 0.8224 0.4276 0.8224  4 O 1.61-1.63
O 0.0613 0.6402 0.4468  1 Mn 1.61
O 0.0643 0.5188 0.1325  1 Mn 1.63
O 0.1325 0.7844 0.0643  1 Mn 1.63
O 0.2156 0.8675 0.4812  1 Mn 1.63
O 0.3517 0.4468 0.6402  1 Mn 1.61
O 0.3598 0.9387 0.6483  1 Mn 1.61
O 0.4468 0.3517 0.0613  1 Mn 1.61
O 0.4812 0.9357 0.2156  1 Mn 1.63
O 0.5188 0.0643 0.7844  1 Mn 1.63
O 0.5532 0.6483 0.9387  1 Mn 1.61
O 0.6402 0.0613 0.3517  1 Mn 1.61
O 0.6483 0.5532 0.3598  1 Mn 1.61
O 0.7844 0.1325 0.5188  1 Mn 1.63
O 0.8675 0.2156 0.9357  1 Mn 1.63
O 0.9357 0.4812 0.8675  1 Mn 1.63
O 0.9387 0.3598 0.5532  1 Mn 1.61


Computed, not measured: Ba2MnO4 after structural relaxation at the GGA+U level of DFT.

Computed properties:
SG: P2_1/m
V, Å³/cell: 257

a = 5.8294 Å, b = 6.1900 Å, c = 7.4702 Å
α = 90.00°, β = 107.84°, γ = 90.00°
Last column: nearest neighbours and their distance in Å.
Fractional coordinates of all 14 atoms:
Ba 0.1070 0.2500 0.1127  6 O 2.68-2.94
Ba 0.2107 0.7500 0.4948  6 O 2.62-2.88
Ba 0.7893 0.2500 0.5052  6 O 2.62-2.88
Ba 0.8930 0.7500 0.8873  6 O 2.68-2.94
Mn 0.3645 0.2500 0.7424  4 O 1.79-1.85
Mn 0.6355 0.7500 0.2576  4 O 1.79-1.85
O 0.1752 0.0341 0.7826  1 Mn 1.82
O 0.1752 0.4659 0.7826  1 Mn 1.82
O 0.3132 0.7500 0.1768  1 Mn 1.79
O 0.3174 0.2500 0.4862  1 Mn 1.85
O 0.6826 0.7500 0.5138  1 Mn 1.85
O 0.6868 0.2500 0.8232  1 Mn 1.79
O 0.8248 0.5341 0.2174  1 Mn 1.82
O 0.8248 0.9659 0.2174  1 Mn 1.82


Computed, not measured: BaMn5O11 after structural relaxation at the GGA+U level of DFT.

Computed properties:
SG: Cm
N(E_F), states/eV/atom: 0.252
V, Å³/cell: 205

a = 7.1035 Å, b = 7.1035 Å, c = 9.6049 Å
α = 90.99°, β = 90.99°, γ = 25.01°
Last column: nearest neighbours and their distance in Å.
Fractional coordinates of all 17 atoms:
Ba 0.0000 0.0000 0.0000  4 O 2.60-2.85
Mn 0.0927 0.0927 0.3544  6 O 1.94-2.04
Mn 0.2506 0.2506 0.8636  6 O 1.90-2.03
Mn 0.4095 0.4095 0.3817  6 O 1.92-1.98
Mn 0.7450 0.7450 0.5975  6 O 1.91-2.05
Mn 0.7565 0.7565 0.1346  6 O 1.91-2.08
O 0.1805 0.1805 0.6917  3 Mn 1.90-2.00
O 0.1819 0.1819 0.2017  3 Mn 1.94-1.97
O 0.3154 0.3154 0.5257  3 Mn 1.92-1.95
O 0.3287 0.3287 0.0338  3 Mn 1.95-2.08
O 0.4993 0.4993 0.7818  2 Ba 2.60
O 0.5215 0.5215 0.2581  3 Mn 1.97-2.04
O 0.6536 0.6536 0.4470  3 Mn 1.91-1.96
O 0.6790 0.6790 0.9538  3 Mn 2.03
O 0.8179 0.8179 0.7845  3 Mn 1.96-2.05
O 0.8527 0.8527 0.2787  3 Mn 1.91-1.98
O 0.9781 0.9781 0.4668  3 Mn 1.94-1.98


no.,raw total energy (eV/cell)
1,-86.2
2,-136.1
3,-91.4
4,-117.0